1.
A plane-wave DFT calculation with PBE was carried out for a geometry-optimized AcPrCoCu structure.

The calculation puts the density of states at the Fermi level at 1.073 states/eV/atom. As for the total energy: -4.98 eV per atom. Its symmetry is F-43m, No. 216. The formation energy is 0.0420 eV/atom. The excess energy over the best structure of this formula in the dataset comes out at 77.1 meV/atom. The value obtained for the total magnetization is 0.0 μB/f.u.

CIF file:
```
data_AcPrCoCu
_cell_length_a 5.132
_cell_length_b 5.132
_cell_length_c 5.132
_cell_angle_alpha 60.00
_cell_angle_beta 60.00
_cell_angle_gamma 60.00
_symmetry_space_group_name_H-M 'P 1'
_symmetry_Int_Tables_number 1
loop_
_symmetry_equiv_pos_as_xyz
'x,y,z'
loop_
_atom_site_label
_atom_site_fract_x
_atom_site_fract_y
_atom_site_fract_z
Ac1 0.000 0.000 0.000
Pr1 0.500 0.500 0.500
Co1 0.250 0.250 0.250
Cu1 0.750 0.750 0.750
```

***

2.
A plane-wave DFT calculation with PBE was carried out for a geometry-optimized Mn2CoSi structure.

Its uncorrected formation energy is 0.3083 eV per atom. The calculation puts the density of states at the Fermi level at 1.223 states/eV/atom. As for the total energy: -7.41 eV per atom. Its symmetry is I-42d, No. 122. The value obtained for the total magnetization is 5.4 μB/f.u.

CIF file:
```
data_Mn2CoSi
_cell_length_a 5.165
_cell_length_b 5.165
_cell_length_c 5.165
_cell_angle_alpha 103.12
_cell_angle_beta 103.12
_cell_angle_gamma 123.09
_symmetry_space_group_name_H-M 'P 1'
_symmetry_Int_Tables_number 1
loop_
_symmetry_equiv_pos_as_xyz
'x,y,z'
loop_
_atom_site_label
_atom_site_fract_x
_atom_site_fract_y
_atom_site_fract_z
Mn1 0.123 0.125 0.498
Mn2 0.375 0.877 0.002
Mn3 0.627 0.625 0.502
Mn4 0.875 0.373 0.998
Co1 0.000 0.000 0.000
Co2 0.750 0.250 0.500
Si1 0.250 0.750 0.500
Si2 0.500 0.500 0.000
```

***

Question: The lowest density of states at the Fermi level belongs to which entry?
Answer: AcPrCoCu